Record 1
Computed, not measured: MnInO2F after structural relaxation at the PBEsol level of DFT.

**Uncorrected energy**: -6.458 eV/atom
**Space group**: P4/mmm

a b c (Å): 3.836 3.836 3.961
angles (deg): 90.00 90.00 90.00
Atoms (fractional coordinates):
Mn: 0.000 0.000 0.000
In: 0.500 0.500 0.500
O: 0.000 0.500 0.000
O: 0.500 0.000 0.000
F: 0.000 0.000 0.500

***

Record 2
Computed, not measured: ScTl2Os after structural relaxation at the PBEsol level of DFT.

**Energy of formation from the pure elements**: 0.318 eV/atom
**Energy relative to the lowest polymorph listed for this composition**: 0.213 eV per atom
**Space group**: Pmmm

a b c (Å): 3.448 4.684 4.844
angles (deg): 90.00 90.00 90.00
Atoms (fractional coordinates):
Sc: 0.000 0.000 0.000
Tl: 0.000 0.500 0.500
Tl: 0.500 0.500 0.000
Os: 0.500 0.000 0.500

***

Record 3
Computed, not measured: BSb2Br after structural relaxation at the PBEsol level of DFT.

**Uncorrected energy**: -3.989 eV/atom
**Space group**: I-42d

a b c (Å): 6.714 6.714 8.857
angles (deg): 90.00 90.00 90.00
Atoms (fractional coordinates):
B: 0.000 0.000 0.000
B: 0.000 0.500 0.250
B: 0.500 0.000 0.750
B: 0.500 0.500 0.500
Sb: 0.160 0.750 0.125
Sb: 0.250 0.160 0.875
Sb: 0.250 0.340 0.375
Sb: 0.340 0.750 0.625
Sb: 0.660 0.250 0.625
Sb: 0.750 0.660 0.375
Sb: 0.750 0.840 0.875
Sb: 0.840 0.250 0.125
Br: 0.000 0.000 0.500
Br: 0.000 0.500 0.750
Br: 0.500 0.000 0.250
Br: 0.500 0.500 0.000

***

Record 4
Computed, not measured: LaNb2NiPd after structural relaxation at the PBEsol level of DFT.

**Energy of formation from the pure elements**: 1.766 eV/atom
**Space group**: P4/mmm

a b c (Å): 4.847 4.847 4.435
angles (deg): 90.00 90.00 90.00
Atoms (fractional coordinates):
La: 0.000 0.000 0.000
Nb: 0.000 0.500 0.000
Nb: 0.500 0.000 0.000
Ni: 0.000 0.000 0.500
Pd: 0.500 0.500 0.500

***

| no. | DOS(E_F) (states/eV/atom) |
| --- | --- |
| 1 | 0.350 |
| 2 | 0.561 |
| 3 | 0.342 |
| 4 | 1.251 |